[1]
The following is a DFT calculation (GGA-PBE) of a geometry-optimized LaPbAu structure.

POSCAR file:
```
LaPbAu
1.0
4.758 0.000 0.000
2.370 5.776 0.000
2.373 0.665 6.008
La Pb Au
2 2 2
Cartesian
1.184 1.316 1.063
8.318 5.124 4.945
3.553 1.833 3.481
5.948 4.608 2.526
3.570 3.844 1.046
5.931 2.597 4.962
```

Output
E_form in eV/atom: -0.64
Uncorrected energy in eV per atom: -4.614
Magnetic moment in μB per formula unit: 0.0

[2]
The following is a DFT calculation (GGA-PBE) of a geometry-optimized Be2SiNi structure.

POSCAR file:
```
Be2SiNi
1.0
2.556 0.000 0.000
0.000 3.868 0.000
-0.402 0.000 4.182
Be Si Ni
2 1 1
Cartesian
0.267 0.000 1.122
1.887 0.000 3.061
0.000 1.934 0.000
1.077 1.934 2.091
```

Output
Uncorrected energy in eV per atom: -4.769
Magnetic moment in μB per formula unit: 0.0
Uncorrected formation energy in meV per atom: -105

[3]
The following is a DFT calculation (GGA-PBE) of a geometry-optimized LaFe2Te structure.

POSCAR file:
```
LaFe2Te
1.0
4.420 0.000 0.000
-2.210 3.828 0.000
0.000 0.000 15.127
La Fe Te
3 6 3
Cartesian
0.000 0.000 0.000
0.000 2.552 10.085
2.210 1.276 5.042
0.000 0.000 2.766
0.000 0.000 12.361
0.000 2.552 7.319
0.000 2.552 12.851
2.210 1.276 2.276
2.210 1.276 7.809
0.000 0.000 7.564
0.000 2.552 2.521
2.210 1.276 12.606
```

Output
Uncorrected energy in eV per atom: -6.362
Magnetic moment in μB per formula unit: 3.3
Uncorrected formation energy in meV per atom: -113

[4]
The following is a DFT calculation (GGA-PBE) of a geometry-optimized NaTmGa structure.

POSCAR file:
```
NaTmGa
1.0
5.922 0.000 0.000
0.000 5.748 0.000
-2.809 0.000 8.997
Na Tm Ga
4 4 4
Cartesian
0.086 0.000 4.417
0.065 2.874 4.581
3.047 2.874 4.417
3.026 0.000 4.581
-1.337 2.874 7.890
1.489 0.000 1.108
1.624 0.000 7.890
4.450 2.874 1.108
-1.314 0.000 7.122
1.466 2.874 1.875
1.647 2.874 7.122
4.427 0.000 1.875
```

Output
E_form in eV/atom: -0.10
Uncorrected energy in eV per atom: -3.041
Magnetic moment in μB per formula unit: 0.0